Here is a geometry-optimized PaReB2 structure from Alexandria. Energies are from GGA-PBE.

a b c (Å): 5.7829 3.8544 9.6258
angles (deg): 90.00 90.00 90.00
Space group Pnma (No. 62)
Symmetry-distinct sites (fractional):
Pa1 0.1296 0.2500 0.1336
Re1 0.1284 0.2500 0.4286
B1 0.0163 0.2500 0.6664
B2 0.2062 0.2500 0.8222

Calculated volume ... 215 Å³ per cell
Distance to the lowest polymorph of the same formula ... 0.174 eV per atom
Calculated total energy ... -0.677 Ry per atom
N(E_F) ... 11.7 states/eV/cell